This record from Alexandria via LeMat-Bulk describes CrPO4 after structural relaxation. The functional is GGA+U.

Summary:
Total DFT energy (no corrections) (hartree per atom): -0.276
Crystal system: triclinic
M_tot (μB/cell): 12.0
D(E_F) (states/eV/f.u.): 0.0
V (Å³/f.u.): 82.7

Lattice parameters (Å, degrees): 6.2831 6.3540 8.9620 82.35 69.49 82.32
Sites, in units of the cell vectors:
1 Cr 0.1117 0.0525 0.2091
2 Cr 0.3136 0.1794 0.4860
3 Cr 0.6864 0.8206 0.5140
4 Cr 0.8883 0.9475 0.7909
5 P 0.2128 0.7139 0.4635
6 P 0.2839 0.8993 0.8404
7 P 0.7161 0.1007 0.1596
8 P 0.7872 0.2861 0.5365
9 O 0.0305 0.1967 0.4215
10 O 0.1135 0.7344 0.8611
11 O 0.1821 0.0877 0.7346
12 O 0.2252 0.7673 0.2907
13 O 0.2648 0.4825 0.5129
14 O 0.2756 0.9842 0.9932
15 O 0.3799 0.8544 0.4939
16 O 0.4591 0.1742 0.2473
17 O 0.5409 0.8258 0.7527
18 O 0.6201 0.1456 0.5061
19 O 0.7244 0.0158 0.0068
20 O 0.7352 0.5175 0.4871
21 O 0.7748 0.2327 0.7093
22 O 0.8179 0.9123 0.2654
23 O 0.8865 0.2656 0.1389
24 O 0.9695 0.8033 0.5785